# MnAgSe

A geometry-optimized MnAgSe structure (PBE-GGA, Alexandria via LeMat-Bulk).

Results
Formation energy from raw total energies, eV/atom: 0.094
DOS at the Fermi energy, states/eV per atom: 0.5124
Density, g cm⁻³: 7.29

Lattice parameters (Å, degrees): 3.191 3.191 10.814 90.00 90.00 90.00
Space group I4mm (No. 107)
Symmetry-distinct sites (fractional):
1 Mn 0.000 0.000 0.000 (multiplicity 2)
2 Ag 0.000 0.000 0.328 (multiplicity 2)
3 Se 0.000 0.000 0.621 (multiplicity 2)